No. 1
Here is Fe3Tc after structural relaxation from Alexandria via LeMat-Bulk. Energies are from GGA-PBEsol.

The space group is P4/mmm (No. 123) and the conventional cell measures 2.814, 2.814 and 5.880 Å, with angles of 90.00, 90.00 and 90.00 degrees. The inequivalent atoms are Fe at (0.000, 0.000, 0.000), Fe at (0.500, 0.500, 0.235) and Tc at (0.000, 0.000, 0.500).

The calculation puts the calculated total energy at -37.90 eV/cell. As for the magnetic moment: 6.5 μB/cell. As for the energy of formation: 0.07 eV per atom.



No. 2
Here is FeTc3 after structural relaxation from Alexandria via LeMat-Bulk. Energies are from GGA-PBEsol.

The space group is Pmmn (No. 59, origin choice 2) and the conventional cell measures 5.318, 12.860 and 4.584 Å, with angles of 90.00, 90.00 and 90.00 degrees. The inequivalent atoms are Fe at (0.250, 0.080, 0.165), Fe at (0.250, 0.750, 0.494), Tc at (0.001, 0.086, 0.667), Tc at (0.001, 0.750, 0.993), Tc at (0.250, 0.250, 0.495) and Tc at (0.250, 0.585, 0.830).

The calculation puts the calculated total energy at -255.54 eV/cell. As for the magnetic moment: 6.1 μB/cell. As for the energy of formation: 0.04 eV per atom.



No. 3
Here is Fe3Tc after structural relaxation from Alexandria via LeMat-Bulk. Energies are from GGA-PBEsol.

The space group is Cmmm (No. 65) and the conventional cell measures 2.923, 4.052 and 8.015 Å, with angles of 90.00, 90.00 and 90.00 degrees. The inequivalent atoms are Fe at (0.000, 0.000, 0.000), Fe at (0.000, 0.500, 0.240) and Tc at (0.000, 0.000, 0.500).

The calculation puts the calculated total energy at -75.44 eV/cell. As for the magnetic moment: 13.9 μB/cell. As for the energy of formation: 0.11 eV per atom.



No. 4
Here is FeTc2 after structural relaxation from Alexandria via LeMat-Bulk. Energies are from GGA-PBEsol.

The space group is P6_3/mmc (No. 194) and the conventional cell measures 4.0952, 4.0952 and 5.2185 Å, with angles of 90.00, 90.00 and 120.00 degrees. The inequivalent atoms are Fe at (0.3333, 0.6667, 0.2500), Tc at (0.0000, 0.0000, 0.0000) and Tc at (0.3333, 0.6667, 0.7500).

The calculation puts the calculated total energy at -62.86 eV/cell. As for the magnetic moment: 0.0 μB/cell. As for the energy of formation: 0.02 eV per atom.



No. 5
Here is Fe3Tc after structural relaxation from Alexandria via LeMat-Bulk. Energies are from GGA-PBEsol.

The space group is Pm-3m (No. 221) and the conventional cell measures 3.515, 3.515 and 3.515 Å, with angles of 90.00, 90.00 and 90.00 degrees. The inequivalent atoms are Fe at (0.000, 0.000, 0.500) and Tc at (0.500, 0.500, 0.500).

The calculation puts the calculated total energy at -37.95 eV/cell. As for the magnetic moment: 0.0 μB/cell. As for the energy of formation: 0.05 eV per atom.



No. 6
Here is Fe3Tc after structural relaxation from Alexandria via LeMat-Bulk. Energies are from GGA-PBEsol.

The space group is Fm-3m (No. 225) and the conventional cell measures 5.717, 5.717 and 5.717 Å, with angles of 90.00, 90.00 and 90.00 degrees. The inequivalent atoms are Fe at (0.000, 0.000, 0.000), Fe at (0.250, 0.250, 0.250) and Tc at (0.000, 0.000, 0.500).

The calculation puts the calculated total energy at -150.84 eV/cell. As for the magnetic moment: 25.8 μB/cell. As for the energy of formation: 0.11 eV per atom.



No. 7
Here is FeTc2 after structural relaxation from Alexandria via LeMat-Bulk. Energies are from GGA-PBEsol.

The space group is Cmcm (No. 63) and the conventional cell measures 3.671, 11.150 and 3.713 Å, with angles of 90.00, 90.00 and 90.00 degrees. The inequivalent atoms are Fe at (0.000, 0.079, 0.250), Tc at (0.000, 0.250, 0.750) and Tc at (0.000, 0.423, 0.250).

The calculation puts the calculated total energy at -124.93 eV/cell. As for the magnetic moment: 0.3 μB/cell. As for the energy of formation: 0.09 eV per atom.



No. 8
Here is Fe3Tc after structural relaxation from Alexandria via LeMat-Bulk. Energies are from GGA-PBEsol.

The space group is Pm-3n (No. 223) and the conventional cell measures 4.520, 4.520 and 4.520 Å, with angles of 90.00, 90.00 and 90.00 degrees. The inequivalent atoms are Fe at (0.000, 0.250, 0.500) and Tc at (0.000, 0.000, 0.000).

The calculation puts the calculated total energy at -75.54 eV/cell. As for the magnetic moment: 9.4 μB/cell. As for the energy of formation: 0.10 eV per atom.